1.
VASP calculation (GGA-PBEsol) on a relaxed structure of Hf3ZnFe.

* total magnetization: 0.000 μB per atom
* E: -8.086 eV/atom
* ΔE_f: 325 meV/atom
* space group: No. 221
* DOS at the Fermi energy: 8.13 states/eV/f.u.

Cell: 4.6732 4.6732 4.6732 Å, 90.00 90.00 90.00°
Element x y z (fractional)
1 Hf 0.0000 0.0000 0.5000
2 Hf 0.0000 0.5000 0.0000
3 Hf 0.5000 0.0000 0.0000
4 Zn 0.5000 0.5000 0.5000
5 Fe 0.0000 0.0000 0.0000

2.
VASP calculation (GGA-PBEsol) on a relaxed structure of Ca2MnBiF.

* total magnetization: 0.931 μB per atom
* E: -4.115 eV/atom
* ΔE_f (raw): -0.067 eV per atom
* space group: No. 123
* DOS at the Fermi energy: 6.15 states/eV/f.u.

Cell: 6.0852 6.0852 4.5511 Å, 90.00 90.00 90.00°
Element x y z (fractional)
1 Ca 0.0000 0.5000 0.0000
2 Ca 0.5000 0.0000 0.0000
3 Mn 0.0000 0.0000 0.5000
4 Bi 0.5000 0.5000 0.0000
5 F 0.5000 0.5000 0.5000

3.
VASP calculation (GGA-PBEsol) on a relaxed structure of Ca2LaCd2.

* total magnetization: 0.000 μB per atom
* E: -2.612 eV/atom
* ΔE_f: -210 meV/atom
* space group: No. 127
* DOS at the Fermi energy: 5.27 states/eV/f.u.

Cell: 8.4515 8.4515 4.2444 Å, 90.00 90.00 90.00°
Element x y z (fractional)
1 Ca 0.1679 0.3321 0.0000
2 Ca 0.3321 0.8321 0.0000
3 Ca 0.6679 0.1679 0.0000
4 Ca 0.8321 0.6679 0.0000
5 La 0.0000 0.0000 0.5000
6 La 0.5000 0.5000 0.5000
7 Cd 0.1262 0.6262 0.5000
8 Cd 0.3738 0.1262 0.5000
9 Cd 0.6262 0.8738 0.5000
10 Cd 0.8738 0.3738 0.5000

4.
VASP calculation (GGA-PBEsol) on a relaxed structure of Rb2MgBi.

* total magnetization: 0.000 μB per atom
* E: -1.999 eV/atom
* relative energy among the computed polymorphs: 0.0 meV per atom
* ΔE_f: 14 meV/atom
* space group: No. 225
* DOS at the Fermi energy: 2.67 states/eV/f.u.

Cell: 8.6136 8.6136 8.6136 Å, 90.00 90.00 90.00°
Element x y z (fractional)
1 Rb 0.2500 0.2500 0.2500
2 Rb 0.2500 0.2500 0.7500
3 Rb 0.2500 0.7500 0.2500
4 Rb 0.2500 0.7500 0.7500
5 Rb 0.7500 0.2500 0.2500
6 Rb 0.7500 0.2500 0.7500
7 Rb 0.7500 0.7500 0.2500
8 Rb 0.7500 0.7500 0.7500
9 Mg 0.0000 0.0000 0.0000
10 Mg 0.0000 0.5000 0.5000
11 Mg 0.5000 0.0000 0.5000
12 Mg 0.5000 0.5000 0.0000
13 Bi 0.0000 0.0000 0.5000
14 Bi 0.0000 0.5000 0.0000
15 Bi 0.5000 0.0000 0.0000
16 Bi 0.5000 0.5000 0.5000

5.
VASP calculation (GGA-PBEsol) on a relaxed structure of Ag3Pb.

* total magnetization: 0.000 μB per atom
* E: -3.368 eV/atom
* ΔE_f: 115 meV/atom
* space group: No. 25
* DOS at the Fermi energy: 1.37 states/eV/f.u.

Cell: 3.0745 4.6730 5.3967 Å, 90.00 90.00 90.00°
Element x y z (fractional)
1 Ag 0.0000 0.0000 0.0000
2 Ag 0.0000 0.5000 0.3044
3 Ag 0.5000 0.0000 0.4518
4 Pb 0.5000 0.5000 0.7962

6.
VASP calculation (GGA-PBEsol) on a relaxed structure of Fe3BiTe.

* total magnetization: 1.216 μB per atom
* E: -5.835 eV/atom
* ΔE_f (raw): 1.105 eV per atom
* space group: No. 221
* DOS at the Fermi energy: 5.63 states/eV/f.u.

Cell: 4.6626 4.6626 4.6626 Å, 90.00 90.00 90.00°
Element x y z (fractional)
1 Fe 0.0000 0.0000 0.5000
2 Fe 0.0000 0.5000 0.0000
3 Fe 0.5000 0.0000 0.0000
4 Bi 0.5000 0.5000 0.5000
5 Te 0.0000 0.0000 0.0000

7.
VASP calculation (GGA-PBEsol) on a relaxed structure of ScCrSb2I.

* total magnetization: 0.856 μB per atom
* E: -5.018 eV/atom
* ΔE_f (raw): 0.528 eV per atom
* space group: No. 123
* DOS at the Fermi energy: 3.66 states/eV/f.u.

Cell: 5.4383 5.4383 5.4960 Å, 90.00 90.00 90.00°
Element x y z (fractional)
1 Sc 0.0000 0.0000 0.0000
2 Cr 0.5000 0.5000 0.5000
3 Sb 0.0000 0.5000 0.0000
4 Sb 0.5000 0.0000 0.0000
5 I 0.0000 0.0000 0.5000

8.
VASP calculation (GGA-PBEsol) on a relaxed structure of MgHPd3.

* total magnetization: 0.000 μB per atom
* E: -5.061 eV/atom
* space group: No. 221
* DOS at the Fermi energy: 4.28 states/eV/f.u.

Cell: 3.9639 3.9639 3.9639 Å, 90.00 90.00 90.00°
Element x y z (fractional)
1 Mg 0.0000 0.0000 0.0000
2 H 0.5000 0.5000 0.5000
3 Pd 0.0000 0.5000 0.5000
4 Pd 0.5000 0.0000 0.5000
5 Pd 0.5000 0.5000 0.0000

9.
VASP calculation (GGA-PBEsol) on a relaxed structure of BaZrTi2Mn.

* total magnetization: 0.001 μB per atom
* E: -7.058 eV/atom
* ΔE_f: 471 meV/atom
* space group: No. 123
* DOS at the Fermi energy: 5.85 states/eV/f.u.

Cell: 4.7127 4.7127 4.9480 Å, 90.00 90.00 90.00°
Element x y z (fractional)
1 Ba 0.0000 0.0000 0.0000
2 Zr 0.5000 0.5000 0.0000
3 Ti 0.0000 0.5000 0.5000
4 Ti 0.5000 0.0000 0.5000
5 Mn 0.5000 0.5000 0.5000

10.
VASP calculation (GGA-PBEsol) on a relaxed structure of LaTlNi3.

* total magnetization: 0.000 μB per atom
* E: -4.197 eV/atom
* relative energy among the computed polymorphs: 531.1 meV per atom
* ΔE_f: 1093 meV/atom
* space group: No. 221
* DOS at the Fermi energy: 3.34 states/eV/f.u.

Cell: 4.7026 4.7026 4.7026 Å, 90.00 90.00 90.00°
Element x y z (fractional)
1 La 0.0000 0.0000 0.0000
2 Tl 0.5000 0.5000 0.5000
3 Ni 0.0000 0.0000 0.5000
4 Ni 0.0000 0.5000 0.0000
5 Ni 0.5000 0.0000 0.0000

11.
VASP calculation (GGA-PBEsol) on a relaxed structure of SiPN3.

* total magnetization: 0.000 μB per atom
* E: -8.240 eV/atom
* ΔE_f (raw): -0.817 eV per atom
* space group: No. 4
* DOS at the Fermi energy: 0.00 states/eV/f.u.

Cell: 5.2613 4.6719 5.2723 Å, 90.00 119.59 90.00°
Element x y z (fractional)
1 Si 0.1751 0.0000 0.1763
2 Si 0.8249 0.5000 0.8237
3 P 0.4924 0.4928 0.1645
4 P 0.5076 0.9928 0.8355
5 N 0.1666 0.3548 0.0700
6 N 0.2725 0.9296 0.5180
7 N 0.4149 0.8394 0.0686
8 N 0.5851 0.3394 0.9314
9 N 0.7275 0.4296 0.4820
10 N 0.8334 0.8548 0.9300

12.
VASP calculation (GGA-PBEsol) on a relaxed structure of Ba2CoHgAu.

* total magnetization: 0.035 μB per atom
* E: -3.327 eV/atom
* ΔE_f: -22 meV/atom
* space group: No. 123
* DOS at the Fermi energy: 3.68 states/eV/f.u.

Cell: 5.5478 5.5478 4.8776 Å, 90.00 90.00 90.00°
Element x y z (fractional)
1 Ba 0.0000 0.5000 0.0000
2 Ba 0.5000 0.0000 0.0000
3 Co 0.0000 0.0000 0.0000
4 Hg 0.0000 0.0000 0.5000
5 Au 0.5000 0.5000 0.5000

13.
VASP calculation (GGA-PBEsol) on a relaxed structure of Sb2TeHBr.

* total magnetization: 0.000 μB per atom
* E: -3.184 eV/atom
* space group: No. 123
* DOS at the Fermi energy: 3.21 states/eV/f.u.

Cell: 5.0034 5.0034 4.3067 Å, 90.00 90.00 90.00°
Element x y z (fractional)
1 Sb 0.0000 0.5000 0.0000
2 Sb 0.5000 0.0000 0.0000
3 Te 0.0000 0.0000 0.5000
4 H 0.0000 0.0000 0.0000
5 Br 0.5000 0.5000 0.5000

14.
VASP calculation (GGA-PBEsol) on a relaxed structure of Na2Cu2Ge.

* total magnetization: 0.000 μB per atom
* E: -3.018 eV/atom
* ΔE_f: 264 meV/atom
* space group: No. 139
* DOS at the Fermi energy: 1.79 states/eV/f.u.

Cell: 3.2314 3.2314 18.8744 Å, 90.00 90.00 90.00°
Element x y z (fractional)
1 Na 0.0000 0.0000 0.1148
2 Na 0.0000 0.0000 0.8852
3 Na 0.5000 0.5000 0.3852
4 Na 0.5000 0.5000 0.6148
5 Cu 0.0000 0.5000 0.2500
6 Cu 0.0000 0.5000 0.7500
7 Cu 0.5000 0.0000 0.2500
8 Cu 0.5000 0.0000 0.7500
9 Ge 0.0000 0.0000 0.5000
10 Ge 0.5000 0.5000 0.0000

15.
VASP calculation (GGA-PBEsol) on a relaxed structure of SrLa2Cl.

* total magnetization: 0.000 μB per atom
* E: -3.966 eV/atom
* ΔE_f (raw): -0.331 eV per atom
* relative energy among the computed polymorphs: 314.3 meV per atom
* space group: No. 123
* DOS at the Fermi energy: 5.11 states/eV/f.u.

Cell: 4.3637 4.3637 7.4133 Å, 90.00 90.00 90.00°
Element x y z (fractional)
1 Sr 0.0000 0.0000 0.0000
2 La 0.0000 0.5000 0.5000
3 La 0.5000 0.0000 0.5000
4 Cl 0.5000 0.5000 0.0000

16.
VASP calculation (GGA-PBEsol) on a relaxed structure of LiSe2Cl.

* total magnetization: 0.000 μB per atom
* E: -3.048 eV/atom
* ΔE_f (raw): -0.129 eV per atom
* relative energy among the computed polymorphs: 625.6 meV per atom
* space group: No. 166
* DOS at the Fermi energy: 2.05 states/eV/f.u.

Cell: 2.8712 2.8712 33.0890 Å, 90.00 90.00 120.00°
Element x y z (fractional)
1 Li 0.0000 0.0000 0.0000
2 Li 0.3333 0.6667 0.6667
3 Li 0.6667 0.3333 0.3333
4 Se 0.0000 0.0000 0.2708
5 Se 0.0000 0.0000 0.7292
6 Se 0.3333 0.6667 0.3959
7 Se 0.3333 0.6667 0.9375
8 Se 0.6667 0.3333 0.0625
9 Se 0.6667 0.3333 0.6041
10 Cl 0.0000 0.0000 0.5000
11 Cl 0.3333 0.6667 0.1667
12 Cl 0.6667 0.3333 0.8333

17.
VASP calculation (GGA-PBEsol) on a relaxed structure of LaAgHg2.

* total magnetization: 0.000 μB per atom
* E: -2.885 eV/atom
* ΔE_f: -437 meV/atom
* space group: No. 225
* DOS at the Fermi energy: 2.13 states/eV/f.u.

Cell: 7.1777 7.1777 7.1777 Å, 90.00 90.00 90.00°
Element x y z (fractional)
1 La 0.0000 0.0000 0.0000
2 La 0.0000 0.5000 0.5000
3 La 0.5000 0.0000 0.5000
4 La 0.5000 0.5000 0.0000
5 Ag 0.0000 0.0000 0.5000
6 Ag 0.0000 0.5000 0.0000
7 Ag 0.5000 0.0000 0.0000
8 Ag 0.5000 0.5000 0.5000
9 Hg 0.2500 0.2500 0.2500
10 Hg 0.2500 0.2500 0.7500
11 Hg 0.2500 0.7500 0.2500
12 Hg 0.2500 0.7500 0.7500
13 Hg 0.7500 0.2500 0.2500
14 Hg 0.7500 0.2500 0.7500
15 Hg 0.7500 0.7500 0.2500
16 Hg 0.7500 0.7500 0.7500

18.
VASP calculation (GGA-PBEsol) on a relaxed structure of KMgRe.

* total magnetization: 1.176 μB per atom
* E: -2.895 eV/atom
* relative energy among the computed polymorphs: 1422.7 meV per atom
* ΔE_f: 2499 meV/atom
* space group: No. 216
* DOS at the Fermi energy: 3.98 states/eV/f.u.

Cell: 7.0864 7.0864 7.0864 Å, 90.00 90.00 90.00°
Element x y z (fractional)
1 K 0.0000 0.0000 0.0000
2 K 0.0000 0.5000 0.5000
3 K 0.5000 0.0000 0.5000
4 K 0.5000 0.5000 0.0000
5 Mg 0.2500 0.2500 0.7500
6 Mg 0.2500 0.7500 0.2500
7 Mg 0.7500 0.2500 0.2500
8 Mg 0.7500 0.7500 0.7500
9 Re 0.2500 0.2500 0.2500
10 Re 0.2500 0.7500 0.7500
11 Re 0.7500 0.2500 0.7500
12 Re 0.7500 0.7500 0.2500

19.
VASP calculation (GGA-PBEsol) on a relaxed structure of YTl.

* total magnetization: 0.000 μB per atom
* E: -5.073 eV/atom
* ΔE_f: -347 meV/atom
* space group: No. 166
* DOS at the Fermi energy: 1.44 states/eV/f.u.

Cell: 3.7157 3.7157 14.0106 Å, 90.00 90.00 120.00°
Element x y z (fractional)
1 Y 0.0000 0.0000 0.0000
2 Y 0.3333 0.6667 0.6667
3 Y 0.6667 0.3333 0.3333
4 Tl 0.0000 0.0000 0.5000
5 Tl 0.3333 0.6667 0.1667
6 Tl 0.6667 0.3333 0.8333

20.
VASP calculation (GGA-PBEsol) on a relaxed structure of TaCuC3.

* total magnetization: 0.000 μB per atom
* E: -6.993 eV/atom
* ΔE_f: 2170 meV/atom
* space group: No. 221
* DOS at the Fermi energy: 2.82 states/eV/f.u.

Cell: 3.6990 3.6990 3.6990 Å, 90.00 90.00 90.00°
Element x y z (fractional)
1 Ta 0.0000 0.0000 0.0000
2 Cu 0.5000 0.5000 0.5000
3 C 0.0000 0.5000 0.5000
4 C 0.5000 0.0000 0.5000
5 C 0.5000 0.5000 0.0000